Material: NbCoF2
Method: DFT, PBE with a Hubbard U
State: relaxed

Computed properties:
As for the polymorph energy (0 for the lowest one): 18 meV/atom. As for the symmetry: R-3m, No. 166.

Cell and atoms, written as POSCAR:
```
NbCoF2
1.0
1.434 0.828 7.256
-1.434 0.828 7.256
0.000 -1.656 7.256
Nb Co F
1 1 2
direct
0.000 0.000 0.000
0.500 0.500 0.500
0.101 0.101 0.101
0.899 0.899 0.899
```